Computed, not measured: crystalline ReSbAsI2 at its relaxed geometry at the PBE level of DFT.

Cell lengths 5.334, 5.334, 5.228 Å; angles 90.00, 90.00, 90.00 degrees
Fractional positions:
Sb1 0.000 0.000 0.500
As1 0.500 0.500 0.500
I1 0.000 0.500 0.000
Re1 0.000 0.000 0.000
I2 0.500 0.000 0.000

Computed properties:
Uncorrected formation energy   1.05 eV per atom
Size of the total moment   0.48 μB per formula unit
Volume   148.8 Å³/f.u.
Space-group type   P4/mmm, No. 123